# KGaPb PBE-GGA relaxed
data_KGaPb
_chemical_formula_sum 'K4 Ga4 Pb4'
_cell_length_a 7.0150
_cell_length_b 9.3650
_cell_length_c 6.6572
_cell_angle_alpha 90.00
_cell_angle_beta 90.00
_cell_angle_gamma 90.00
_space_group_name_H-M_alt 'C m c m'
_space_group_IT_number 63
_space_group_name_Hall '-C 2c 2'
loop_
_atom_site_label
_atom_site_fract_x
_atom_site_fract_y
_atom_site_fract_z
K1 0.0000 0.1303 0.2500
Ga1 0.0000 0.5000 0.0000
Pb1 0.0000 0.2670 0.7500
# Total moment   0.00 μB/cell
# Density of states at the Fermi level   0.23 states/eV per atom
# Formation energy   0.2 eV per formula unit
# E_tot   -2.5497 eV per atom

***

# DyMn10Cr2 PBE-GGA relaxed
data_DyMn10Cr2
_chemical_formula_sum 'Dy4 Mn40 Cr8'
_cell_length_a 8.3697
_cell_length_b 9.5096
_cell_length_c 8.0523
_cell_angle_alpha 90.00
_cell_angle_beta 90.00
_cell_angle_gamma 90.00
_space_group_name_H-M_alt 'C m c m'
_space_group_IT_number 63
_space_group_name_Hall '-C 2c 2'
loop_
_atom_site_label
_atom_site_fract_x
_atom_site_fract_y
_atom_site_fract_z
Dy1 0.0000 0.1196 0.2500
Mn1 0.0000 0.1750 0.6063
Mn2 0.0000 0.3980 0.0711
Mn3 0.1328 0.3918 0.7500
Mn4 0.2291 0.0000 0.0000
Mn5 0.2505 0.1266 0.7500
Cr1 0.2500 0.2500 0.0000
# Total moment   6.96 μB/cell
# Density of states at the Fermi level   1.13 states/eV per atom
# Formation energy   0.4 eV per formula unit
# E_tot   -8.8608 eV per atom

***

# TiCuHIr2 PBE-GGA relaxed
data_TiCuHIr2
_chemical_formula_sum 'Ti1 Cu1 H1 Ir2'
_cell_length_a 3.9403
_cell_length_b 3.9403
_cell_length_c 3.8118
_cell_angle_alpha 90.00
_cell_angle_beta 90.00
_cell_angle_gamma 90.00
_space_group_name_H-M_alt 'P 4/m m m'
_space_group_IT_number 123
_space_group_name_Hall '-P 4 2'
loop_
_atom_site_label
_atom_site_fract_x
_atom_site_fract_y
_atom_site_fract_z
Ti1 0.0000 0.0000 0.0000
Cu1 0.5000 0.5000 0.0000
H1 0.0000 0.0000 0.5000
Ir1 0.0000 0.5000 0.5000
# Total moment   0.00 μB/cell
# Polymorph energy (0 for the lowest one)   33.8 meV/atom
# Density of states at the Fermi level   0.30 states/eV per atom
# E_tot   -6.9137 eV per atom

***

# VAgSn2 PBE-GGA relaxed
data_VAgSn2
_chemical_formula_sum 'V4 Ag4 Sn8'
_cell_length_a 7.6747
_cell_length_b 7.6747
_cell_length_c 6.1168
_cell_angle_alpha 90.00
_cell_angle_beta 90.00
_cell_angle_gamma 90.00
_space_group_name_H-M_alt 'I -4 2 d'
_space_group_IT_number 122
_space_group_name_Hall 'I -4 2bw'
loop_
_atom_site_label
_atom_site_fract_x
_atom_site_fract_y
_atom_site_fract_z
V1 0.0000 0.0000 0.0000
Ag1 0.0000 0.0000 0.5000
Sn1 0.2489 0.2500 0.6250
# Total moment   10.56 μB/cell
# Polymorph energy (0 for the lowest one)   240.0 meV/atom
# Density of states at the Fermi level   1.17 states/eV per atom
# Formation energy   1.8 eV per formula unit
# E_tot   -4.5324 eV per atom

***

Q: The highest density of states at the Fermi level belongs to which entry?
A: VAgSn2